VASP calculation (PBE-GGA) on a relaxed structure of Ac2PIrRu.

The formation energy is -0.78 eV per atom. The total energy comes out at -0.5244 Ry per atom. Its total magnetization is 0.00 μB per formula unit.

The structure belongs to space group P4/nmm (No. 129, origin choice 2); the cell edges are 4.183, 4.183 and 14.509 Å and the angles 90.00°, 90.00° and 90.00°. Symmetry generates all atoms from Ac at (0.250, 0.250, 0.098), Ac at (0.250, 0.250, 0.678), P at (0.250, 0.250, 0.418), Ir at (0.250, 0.250, 0.882) and Ru at (0.250, 0.750, 0.500).

---

VASP calculation (PBE-GGA) on a relaxed structure of CaReW2.

The formation energy is 1.10 eV per atom. The total energy comes out at -0.6610 Ry per atom. Its total magnetization is 0.00 μB per formula unit.

The structure belongs to space group P4/mmm (No. 123); the cell edges are 3.920, 3.920 and 4.634 Å and the angles 90.00°, 90.00° and 90.00°. Symmetry generates all atoms from Ca at (0.000, 0.000, 0.000), Re at (0.500, 0.500, 0.000) and W at (0.000, 0.500, 0.500).

---

VASP calculation (PBE-GGA) on a relaxed structure of Tb3PrSm2Y6.

The formation energy is 0.02 eV per atom. The total energy comes out at -0.4085 Ry per atom. Its total magnetization is 0.00 μB per formula unit.

The structure belongs to space group C2/m (No. 12); the cell edges are 6.226, 10.775 and 11.859 Å and the angles 90.00°, 100.02° and 90.00°. Symmetry generates all atoms from Tb at (0.000, 0.000, 0.000), Tb at (0.000, 0.333, 0.000), Pr at (0.000, 0.500, 0.500), Sm at (0.000, 0.167, 0.500), Y at (0.249, 0.167, 0.248) and Y at (0.249, 0.500, 0.248).

---

VASP calculation (PBE-GGA) on a relaxed structure of Pt2Pb.

The formation energy is -0.02 eV per atom. The total energy comes out at -0.3883 Ry per atom. Its total magnetization is 0.00 μB per formula unit.

The structure belongs to space group Cmcm (No. 63); the cell edges are 4.082, 13.647 and 4.068 Å and the angles 90.00°, 90.00° and 90.00°. Symmetry generates all atoms from Pt at (0.000, 0.078, 0.250), Pt at (0.000, 0.248, 0.750) and Pb at (0.000, 0.398, 0.250).

---

VASP calculation (PBE-GGA) on a relaxed structure of La2MnSi4Pt3.

The total energy comes out at -0.5062 Ry per atom. Its total magnetization is 2.92 μB per formula unit.

The structure belongs to space group P-4m2 (No. 115); the cell edges are 4.255, 4.255 and 10.122 Å and the angles 90.00°, 90.00° and 90.00°. Symmetry generates all atoms from La at (0.000, 0.500, 0.246), Mn at (0.000, 0.000, 0.500), Si at (0.000, 0.000, 0.000), Si at (0.000, 0.500, 0.631), Si at (0.500, 0.500, 0.000), Pt at (0.000, 0.500, 0.880) and Pt at (0.500, 0.500, 0.500).

---

VASP calculation (PBE-GGA) on a relaxed structure of PmAl3H12.

The total energy comes out at -0.2647 Ry per atom. Its total magnetization is 0.00 μB per formula unit.

The structure belongs to space group R3c (No. 161, hexagonal axes); the cell edges are 8.0910, 8.0910 and 22.8831 Å and the angles 90.00°, 90.00° and 120.00°. Symmetry generates all atoms from Pm at (0.0000, 0.0000, 0.0000), Al at (0.0112, 0.3158, 0.3858), H at (0.0131, 0.4642, 0.6609), H at (0.1908, 0.4231, 0.8721), H at (0.2009, 0.4281, 0.7370) and H at (0.2014, 0.4532, 0.0966).

---

VASP calculation (PBE-GGA) on a relaxed structure of K4TmU3O12.

The total energy comes out at -0.5911 Ry per atom. Its total magnetization is 1.00 μB per formula unit.

The structure belongs to space group Im-3m (No. 229); the cell edges are 8.611, 8.611 and 8.611 Å and the angles 90.00°, 90.00° and 90.00°. Symmetry generates all atoms from K at (0.250, 0.250, 0.250), Tm at (0.000, 0.000, 0.000), U at (0.000, 0.000, 0.500), O at (0.000, 0.000, 0.263) and O at (0.000, 0.250, 0.500).

---

VASP calculation (PBE-GGA) on a relaxed structure of Li2MnBe.

The formation energy is 0.28 eV per atom. The total energy comes out at -0.2869 Ry per atom. Its total magnetization is 2.95 μB per formula unit.

The structure belongs to space group I-4m2 (No. 119); the cell edges are 4.123, 4.123 and 5.819 Å and the angles 90.00°, 90.00° and 90.00°. Symmetry generates all atoms from Li at (0.000, 0.000, 0.000), Li at (0.000, 0.500, 0.250), Mn at (0.000, 0.000, 0.500) and Be at (0.000, 0.500, 0.750).

---

VASP calculation (PBE-GGA) on a relaxed structure of Be4SeBr.

The total energy comes out at -0.1929 Ry per atom. Its total magnetization is 0.00 μB per formula unit.

The structure belongs to space group F-43m (No. 216); the cell edges are 6.887, 6.887 and 6.887 Å and the angles 90.00°, 90.00° and 90.00°. Symmetry generates all atoms from Be at (0.123, 0.123, 0.377), Se at (0.250, 0.250, 0.750) and Br at (0.000, 0.000, 0.000).